Entry 1:
Computed, not measured: a geometry-optimized Sc2Pt2Se structure at the PBE level of DFT.

abc: 7.4405 7.4405 3.4454
angles: 90.00 90.00 90.00
Positions (direct):
Sc 0.1684 0.3316 0.0000
Sc 0.3316 0.8316 0.0000
Sc 0.6684 0.1684 0.0000
Sc 0.8316 0.6684 0.0000
Pt 0.1293 0.6293 0.5000
Pt 0.3707 0.1293 0.5000
Pt 0.6293 0.8707 0.5000
Pt 0.8707 0.3707 0.5000
Se 0.0000 0.0000 0.5000
Se 0.5000 0.5000 0.5000

ΔE to the lowest computed polymorph in meV/atom: 0
D(E_F) in states/eV/atom: 0.331
Raw formation energy in eV per atom: -1.054



Entry 2:
Computed, not measured: a geometry-optimized KBaZnSe2 structure at the PBE level of DFT.

abc: 7.8875 5.1368 8.7969
angles: 90.00 102.41 90.00
Positions (direct):
K 0.0000 0.0284 0.2500
K 0.0000 0.9716 0.7500
Ba 0.5000 0.2807 0.7500
Ba 0.5000 0.7193 0.2500
Zn 0.0000 0.5000 0.0000
Zn 0.0000 0.5000 0.5000
Se 0.2798 0.2357 0.0368
Se 0.2798 0.7643 0.5368
Se 0.7202 0.2357 0.4632
Se 0.7202 0.7643 0.9632

D(E_F) in states/eV/atom: 0.482
Raw formation energy in eV per atom: -0.989



Entry 3:
Computed, not measured: a geometry-optimized LaCeN2 structure at the PBE level of DFT.

abc: 3.6117 3.6117 12.0623
angles: 90.00 90.00 120.00
Positions (direct):
La 0.3333 0.6667 0.2500
La 0.6667 0.3333 0.7500
Ce 0.0000 0.0000 0.0000
Ce 0.0000 0.0000 0.5000
N 0.3333 0.6667 0.6122
N 0.3333 0.6667 0.8878
N 0.6667 0.3333 0.1122
N 0.6667 0.3333 0.3878

D(E_F) in states/eV/atom: 0.730
Raw formation energy in eV per atom: -1.406



Copy entry 3 word for word.
Computed, not measured: a geometry-optimized LaCeN2 structure at the PBE level of DFT.

abc: 3.6117 3.6117 12.0623
angles: 90.00 90.00 120.00
Positions (direct):
La 0.3333 0.6667 0.2500
La 0.6667 0.3333 0.7500
Ce 0.0000 0.0000 0.0000
Ce 0.0000 0.0000 0.5000
N 0.3333 0.6667 0.6122
N 0.3333 0.6667 0.8878
N 0.6667 0.3333 0.1122
N 0.6667 0.3333 0.3878

D(E_F) in states/eV/atom: 0.730
Raw formation energy in eV per atom: -1.406